# SCAN MgSiSe2Br, single point on PBEsol structure
# Uncorrected formation energy = 0.159 eV per atom
# Density = 3.92 Mg/m³
# Crystal system = tetragonal
data_MgSiSe2Br
_symmetry_space_group_name_H-M 'P 1'
_symmetry_Int_Tables_number 1
_cell_length_a 4.965
_cell_length_b 4.976
_cell_length_c 4.976
_cell_angle_alpha 90.00
_cell_angle_beta 90.00
_cell_angle_gamma 90.00
loop_
_symmetry_equiv_pos_as_xyz
'x,y,z'
loop_
_atom_site_label
_atom_site_type_symbol
_atom_site_fract_x
_atom_site_fract_y
_atom_site_fract_z
Si1 Si 0.500 0.500 0.500
Br1 Br 0.500 0.000 0.000
Se1 Se 0.000 0.500 0.000
Se2 Se 0.000 0.000 0.500
Mg1 Mg 0.000 0.000 0.000

---

# SCAN PtPbW, single point on PBEsol structure
# Electronic total energy = -5.232 Ry per atom
# Density = 15.74 Mg/m³
# Crystal system = cubic
data_PtPbW
_symmetry_space_group_name_H-M 'P 1'
_symmetry_Int_Tables_number 1
_cell_length_a 4.439
_cell_length_b 4.439
_cell_length_c 4.439
_cell_angle_alpha 60.00
_cell_angle_beta 60.00
_cell_angle_gamma 60.00
loop_
_symmetry_equiv_pos_as_xyz
'x,y,z'
loop_
_atom_site_label
_atom_site_type_symbol
_atom_site_fract_x
_atom_site_fract_y
_atom_site_fract_z
Pb1 Pb 0.500 0.500 0.500
W1 W 0.000 0.000 0.000
Pt1 Pt 0.250 0.250 0.250

---

# SCAN ReMo2Cl, single point on PBEsol structure
# Uncorrected formation energy = 1.149 eV per atom
# Density = 11.43 Mg/m³
# Crystal system = cubic
data_ReMo2Cl
_symmetry_space_group_name_H-M 'P 1'
_symmetry_Int_Tables_number 1
_cell_length_a 4.396
_cell_length_b 4.396
_cell_length_c 4.396
_cell_angle_alpha 60.00
_cell_angle_beta 60.00
_cell_angle_gamma 60.00
loop_
_symmetry_equiv_pos_as_xyz
'x,y,z'
loop_
_atom_site_label
_atom_site_type_symbol
_atom_site_fract_x
_atom_site_fract_y
_atom_site_fract_z
Cl1 Cl 0.500 0.500 0.500
Mo1 Mo 0.000 0.000 0.000
Mo2 Mo 0.750 0.750 0.750
Re1 Re 0.250 0.250 0.250

---

# SCAN Li2Mg, single point on PBEsol structure
# Electronic total energy = -0.241 Ry per atom
# Density = 1.06 Mg/m³
# Crystal system = monoclinic
data_Li2Mg
_symmetry_space_group_name_H-M 'P 1'
_symmetry_Int_Tables_number 1
_cell_length_a 5.234
_cell_length_b 5.234
_cell_length_c 5.774
_cell_angle_alpha 92.82
_cell_angle_beta 114.64
_cell_angle_gamma 119.06
loop_
_symmetry_equiv_pos_as_xyz
'x,y,z'
loop_
_atom_site_label
_atom_site_type_symbol
_atom_site_fract_x
_atom_site_fract_y
_atom_site_fract_z
Li1 Li 0.006 0.425 0.249
Li2 Li 0.994 0.575 0.751
Li3 Li 0.675 0.757 0.251
Li4 Li 0.325 0.243 0.749
Mg1 Mg 0.343 0.093 0.250
Mg2 Mg 0.657 0.907 0.750

---

# SCAN AlCr2Sb, single point on PBEsol structure
# Uncorrected formation energy = 0.194 eV per atom
# Density = 7.27 Mg/m³
# Crystal system = tetragonal
data_AlCr2Sb
_symmetry_space_group_name_H-M 'P 1'
_symmetry_Int_Tables_number 1
_cell_length_a 3.189
_cell_length_b 3.189
_cell_length_c 5.678
_cell_angle_alpha 90.00
_cell_angle_beta 90.00
_cell_angle_gamma 90.00
loop_
_symmetry_equiv_pos_as_xyz
'x,y,z'
loop_
_atom_site_label
_atom_site_type_symbol
_atom_site_fract_x
_atom_site_fract_y
_atom_site_fract_z
Cr1 Cr 0.500 0.500 0.239
Cr2 Cr 0.000 0.000 0.990
Sb1 Sb 0.000 0.000 0.479
Al1 Al 0.500 0.500 0.792

---

# SCAN Ca2CuCl, single point on PBEsol structure
# Uncorrected formation energy = -0.906 eV per atom
# Density = 2.98 Mg/m³
# Crystal system = monoclinic
data_Ca2CuCl
_symmetry_space_group_name_H-M 'P 1'
_symmetry_Int_Tables_number 1
_cell_length_a 3.510
_cell_length_b 3.649
_cell_length_c 7.787
_cell_angle_alpha 90.15
_cell_angle_beta 90.00
_cell_angle_gamma 90.00
loop_
_symmetry_equiv_pos_as_xyz
'x,y,z'
loop_
_atom_site_label
_atom_site_type_symbol
_atom_site_fract_x
_atom_site_fract_y
_atom_site_fract_z
Ca1 Ca 0.000 0.999 0.784
Ca2 Ca 0.000 0.001 0.216
Cu1 Cu 0.500 0.500 0.000
Cl1 Cl 0.500 0.000 0.500

---

Question: Number 5 is which compound?
Answer: AlCr2Sb

---

Question: Which of these has the lowest density?
Answer: Li2Mg